Material: K2ZnAgO2
Method: DFT, GGA-PBE
State: relaxed

E: -3.61 eV/atom
Symmetry: No. 36
Fermi-level density of states: 1.6 states/eV/f.u.
Formation energy without anion corrections: -523.8 kJ/mol of formula units
Magnetization: 0.0 μB/f.u.

Geometry as extended XYZ:
```
12
Lattice="-4.100 3.524 -0.486 0.128 -1.005 -8.363 -4.179 -4.216 4.685" Properties=species:S:1:pos:R:3 pbc="T T T"
K -5.479 -0.325 1.161
Zn -2.798 1.778 -6.198
K -2.299 -1.694 -5.280
Ag -1.722 0.586 -8.569
O -5.817 -1.078 -1.456
K -3.392 -2.372 -0.972
O -1.961 -0.940 -2.663
Ag -3.899 3.350 -0.475
O -3.966 0.468 -5.856
O -3.812 -2.486 1.737
K -4.385 0.354 -3.147
Zn -0.799 0.419 -2.606
```